A geometry-optimized Ca2RhW structure, computed with PBE.

Calculated values
ΔE to the lowest computed polymorph	180	meV per atom
total moment	0.0	μB/f.u.
ΔE_f	382	meV/atom

```
data_Ca2RhW
_space_group_name_H-M_alt 'P 1 m 1'
_space_group_IT_number 6
_cell_length_a 3.110
_cell_length_b 4.335
_cell_length_c 7.343
_cell_angle_alpha 90.00
_cell_angle_beta 101.71
_cell_angle_gamma 90.00
loop_
_space_group_symop_operation_xyz
'x,y,z'
'x,-y,z'
loop_
_atom_site_label
_atom_site_fract_x
_atom_site_fract_y
_atom_site_fract_z
_atom_site_occupancy
Ca1 0.000 0.000 0.000 1
Ca2 0.270 0.500 0.621 1
Rh1 0.700 0.500 0.239 1
W1 0.598 0.000 0.379 1
```

---

A geometry-optimized Ca2RhW structure, computed with PBE.

Calculated values
ΔE to the lowest computed polymorph	490	meV per atom
total moment	0.0	μB/f.u.
ΔE_f	692	meV/atom

```
data_Ca2RhW
_space_group_name_H-M_alt 'I 4/m m m'
_space_group_IT_number 139
_space_group_name_Hall '-I 4 2'
_cell_length_a 4.082
_cell_length_b 4.082
_cell_length_c 9.703
_cell_angle_alpha 90.00
_cell_angle_beta 90.00
_cell_angle_gamma 90.00
loop_
_atom_site_label
_atom_site_fract_x
_atom_site_fract_y
_atom_site_fract_z
_atom_site_occupancy
Ca1 0.000 0.500 0.250 1
Rh1 0.000 0.000 0.000 1
W1 0.000 0.000 0.500 1
```

---

A geometry-optimized CaRhW2 structure, computed with PBE.

Calculated values
ΔE to the lowest computed polymorph	38	meV per atom
total moment	0.0	μB/f.u.
ΔE_f	344	meV/atom

```
data_CaRhW2
_space_group_name_H-M_alt 'P 4 m m'
_space_group_IT_number 99
_cell_length_a 2.871
_cell_length_b 2.871
_cell_length_c 8.742
_cell_angle_alpha 90.00
_cell_angle_beta 90.00
_cell_angle_gamma 90.00
loop_
_space_group_symop_operation_xyz
'x,y,z'
'-y,x,z'
'-x,-y,z'
'y,-x,z'
'-x,y,z'
'y,x,z'
'x,-y,z'
'-y,-x,z'
loop_
_atom_site_label
_atom_site_fract_x
_atom_site_fract_y
_atom_site_fract_z
_atom_site_occupancy
Ca1 0.000 0.000 0.000 1
Rh1 0.500 0.500 0.261 1
W1 0.000 0.000 0.456 1
W2 0.500 0.500 0.696 1
```

---

A geometry-optimized CaRhW2 structure, computed with PBE.

Calculated values
ΔE to the lowest computed polymorph	104	meV per atom
total moment	0.0	μB/f.u.
ΔE_f	409	meV/atom

```
data_CaRhW2
_space_group_name_H-M_alt 'P 1 m 1'
_space_group_IT_number 6
_cell_length_a 2.840
_cell_length_b 4.211
_cell_length_c 6.333
_cell_angle_alpha 90.00
_cell_angle_beta 102.55
_cell_angle_gamma 90.00
loop_
_space_group_symop_operation_xyz
'x,y,z'
'x,-y,z'
loop_
_atom_site_label
_atom_site_fract_x
_atom_site_fract_y
_atom_site_fract_z
_atom_site_occupancy
Ca1 0.000 0.000 0.000 1
Rh1 0.710 0.500 0.277 1
W1 0.272 0.500 0.688 1
W2 0.474 0.000 0.491 1
```

---

A geometry-optimized CaY4Rh structure, computed with PBE.

Calculated values
total moment	0.0	μB/f.u.
ΔE_f	500	meV/atom

```
data_CaY4Rh
_space_group_name_H-M_alt 'F -4 3 m'
_space_group_IT_number 216
_space_group_name_Hall 'F -4 2 3'
_cell_length_a 8.995
_cell_length_b 8.995
_cell_length_c 8.995
_cell_angle_alpha 90.00
_cell_angle_beta 90.00
_cell_angle_gamma 90.00
loop_
_atom_site_label
_atom_site_fract_x
_atom_site_fract_y
_atom_site_fract_z
_atom_site_occupancy
Ca1 0.000 0.000 0.000 1
Y1 0.124 0.124 0.376 1
Rh1 0.250 0.250 0.750 1
```

---

A geometry-optimized CaYRh4 structure, computed with PBE.

Calculated values
total moment	0.0	μB/f.u.
ΔE_f	-599	meV/atom

```
data_CaYRh4
_space_group_name_H-M_alt 'F -4 3 m'
_space_group_IT_number 216
_space_group_name_Hall 'F -4 2 3'
_cell_length_a 7.561
_cell_length_b 7.561
_cell_length_c 7.561
_cell_angle_alpha 90.00
_cell_angle_beta 90.00
_cell_angle_gamma 90.00
loop_
_atom_site_label
_atom_site_fract_x
_atom_site_fract_y
_atom_site_fract_z
_atom_site_occupancy
Ca1 0.000 0.000 0.000 1
Y1 0.250 0.250 0.250 1
Rh1 0.125 0.125 0.625 1
```

---

A geometry-optimized CaYRh structure, computed with PBE.

Calculated values
ΔE to the lowest computed polymorph	44	meV per atom
total moment	0.0	μB/f.u.
ΔE_f	-440	meV/atom

```
data_CaYRh
_space_group_name_H-M_alt 'F -4 3 m'
_space_group_IT_number 216
_space_group_name_Hall 'F -4 2 3'
_cell_length_a 6.843
_cell_length_b 6.843
_cell_length_c 6.843
_cell_angle_alpha 90.00
_cell_angle_beta 90.00
_cell_angle_gamma 90.00
loop_
_atom_site_label
_atom_site_fract_x
_atom_site_fract_y
_atom_site_fract_z
_atom_site_occupancy
Ca1 0.000 0.000 0.000 1
Y1 0.000 0.000 0.500 1
Rh1 0.250 0.250 0.250 1
```

---

A geometry-optimized Ca2YRh2 structure, computed with PBE.

Calculated values
ΔE to the lowest computed polymorph	155	meV per atom
total moment	0.0	μB/f.u.
ΔE_f	-218	meV/atom

```
data_Ca2YRh2
_space_group_name_H-M_alt 'I 4/m m m'
_space_group_IT_number 139
_space_group_name_Hall '-I 4 2'
_cell_length_a 4.307
_cell_length_b 4.307
_cell_length_c 12.842
_cell_angle_alpha 90.00
_cell_angle_beta 90.00
_cell_angle_gamma 90.00
loop_
_atom_site_label
_atom_site_fract_x
_atom_site_fract_y
_atom_site_fract_z
_atom_site_occupancy
Ca1 0.000 0.500 0.250 1
Y1 0.000 0.000 0.000 1
Rh1 0.000 0.000 0.401 1
```

---

| no. | DFT total energy (eV per atom) |
| --- | --- |
| 1 | -5.70 |
| 2 | -5.38 |
| 3 | -8.47 |
| 4 | -8.41 |
| 5 | -5.37 |
| 6 | -6.91 |
| 7 | -5.71 |
| 8 | -5.25 |